VASP calculation (PBE) on an optimized crystal structure of Na3PmU2Se6.

POSCAR file:
```
Na3PmU2Se6
1.0
-3.244 -2.733 5.861
2.447 -4.424 -5.175
6.507 2.006 3.048
Na Pm U Se
3 1 2 6
direct
0.165 0.835 0.500
0.835 0.165 0.500
0.500 0.500 0.500
0.000 0.000 0.000
0.333 0.667 0.000
0.667 0.333 0.000
0.922 0.583 0.765
0.739 0.739 0.235
0.078 0.417 0.235
0.583 0.922 0.765
0.261 0.261 0.765
0.417 0.078 0.235
```

Results
The calculation puts the calculated total energy at -5.690 eV per atom. The mass density is 6.04 g cm⁻³. The uncorrected formation energy is -1340 meV/atom. For the magnetization, the calculation gives 6.01 μB/cell. For the density of states at the Fermi level, the calculation gives 0.787 states/eV/atom.